1.
# PrLuCo

A geometry-optimized PrLuCo structure (PBE, Alexandria via LeMat-Bulk).

Results
total magnetic moment = 0.787 μB per formula unit
energy above the most stable polymorph in this dataset = 0.0 kJ per mole of atoms
energy of formation from the pure elements = -0.058 eV/atom

```
data_PrLuCo
_cell_length_a 3.395
_cell_length_b 3.395
_cell_length_c 6.806
_cell_angle_alpha 104.44
_cell_angle_beta 104.44
_cell_angle_gamma 90.00
_space_group_name_H-M_alt 'P 1'
_space_group_IT_number 1
loop_
_space_group_symop_operation_xyz
'x,y,z'
loop_
_atom_site_label
_atom_site_fract_x
_atom_site_fract_y
_atom_site_fract_z
Pr1 0.033 0.033 0.066
Lu1 0.291 0.291 0.582
Co1 0.676 0.676 0.352
```

---

2.
# Sm12Y7Er

A geometry-optimized Sm12Y7Er structure (PBE, Alexandria via LeMat-Bulk).

Results
total magnetic moment = 0.000 μB per formula unit
energy above the most stable polymorph in this dataset = 5.7 kJ per mole of atoms
energy of formation from the pure elements = 0.294 eV/atom

```
data_Sm12Y7Er
_cell_length_a 6.772
_cell_length_b 11.078
_cell_length_c 11.078
_cell_angle_alpha 64.04
_cell_angle_beta 78.24
_cell_angle_gamma 101.76
_space_group_name_H-M_alt 'P 1'
_space_group_IT_number 1
loop_
_space_group_symop_operation_xyz
'x,y,z'
loop_
_atom_site_label
_atom_site_fract_x
_atom_site_fract_y
_atom_site_fract_z
Sm1 0.209 0.937 0.539
Sm2 0.491 0.211 0.576
Sm3 0.280 0.213 0.211
Sm4 0.727 0.476 0.063
Sm5 0.791 0.063 0.461
Sm6 0.273 0.524 0.937
Sm7 0.720 0.787 0.789
Sm8 0.933 0.424 0.787
Sm9 0.067 0.576 0.213
Sm10 0.748 0.539 0.524
Sm11 0.509 0.789 0.424
Sm12 0.252 0.461 0.476
Y1 0.620 0.697 0.160
Y2 0.077 0.857 0.303
Y3 0.781 0.160 0.143
Y4 0.219 0.840 0.857
Y5 0.380 0.303 0.840
Y6 0.500 0.000 0.000
Y7 0.923 0.143 0.697
Er1 0.000 0.000 0.000
```

---

3.
# ScTlRu2I

A geometry-optimized ScTlRu2I structure (PBE, Alexandria via LeMat-Bulk).

Results
total magnetic moment = 2.994 μB per formula unit
formation energy from raw total energies = 1.02 eV per atom

```
data_ScTlRu2I
_cell_length_a 4.888
_cell_length_b 5.764
_cell_length_c 4.888
_cell_angle_alpha 90.00
_cell_angle_beta 90.00
_cell_angle_gamma 90.00
_space_group_name_H-M_alt 'P 1'
_space_group_IT_number 1
loop_
_space_group_symop_operation_xyz
'x,y,z'
loop_
_atom_site_label
_atom_site_fract_x
_atom_site_fract_y
_atom_site_fract_z
I1 0.000 0.500 0.000
Tl1 0.500 0.500 0.500
Ru1 0.000 0.000 0.500
Ru2 0.500 0.000 0.000
Sc1 0.000 0.000 0.000
```

---

4.
# MgNbAg

A geometry-optimized MgNbAg structure (PBE, Alexandria via LeMat-Bulk).

Results
total magnetic moment = 3.609 μB per formula unit
energy above the most stable polymorph in this dataset = 166.5 kJ per mole of atoms
energy of formation from the pure elements = 1.780 eV/atom

```
data_MgNbAg
_cell_length_a 4.286
_cell_length_b 4.286
_cell_length_c 10.974
_cell_angle_alpha 90.00
_cell_angle_beta 90.00
_cell_angle_gamma 120.00
_space_group_name_H-M_alt 'P 1'
_space_group_IT_number 1
loop_
_space_group_symop_operation_xyz
'x,y,z'
loop_
_atom_site_label
_atom_site_fract_x
_atom_site_fract_y
_atom_site_fract_z
Nb1 0.000 0.000 0.000
Nb2 0.000 0.000 0.500
Mg1 0.000 0.000 0.250
Mg2 0.000 0.000 0.750
Ag1 0.333 0.667 0.250
Ag2 0.667 0.333 0.750
```

---

5.
# YHgPb2

A geometry-optimized YHgPb2 structure (PBE, Alexandria via LeMat-Bulk).

Results
total magnetic moment = 0.000 μB per formula unit
energy of formation from the pure elements = -0.155 eV/atom

```
data_YHgPb2
_cell_length_a 10.130
_cell_length_b 10.130
_cell_length_c 10.130
_cell_angle_alpha 21.11
_cell_angle_beta 21.11
_cell_angle_gamma 21.11
_space_group_name_H-M_alt 'P 1'
_space_group_IT_number 1
loop_
_space_group_symop_operation_xyz
'x,y,z'
loop_
_atom_site_label
_atom_site_fract_x
_atom_site_fract_y
_atom_site_fract_z
Pb1 0.004 0.004 0.004
Pb2 0.248 0.248 0.248
Y1 0.496 0.496 0.496
Hg1 0.752 0.752 0.752
```

---

6.
# V2ReGe2

A geometry-optimized V2ReGe2 structure (PBE, Alexandria via LeMat-Bulk).

Results
total magnetic moment = 0.401 μB per formula unit
energy of formation from the pure elements = -0.065 eV/atom

```
data_V2ReGe2
_cell_length_a 6.585
_cell_length_b 6.585
_cell_length_c 3.304
_cell_angle_alpha 90.00
_cell_angle_beta 90.00
_cell_angle_gamma 90.00
_space_group_name_H-M_alt 'P 1'
_space_group_IT_number 1
loop_
_space_group_symop_operation_xyz
'x,y,z'
loop_
_atom_site_label
_atom_site_fract_x
_atom_site_fract_y
_atom_site_fract_z
Re1 0.500 0.500 0.000
Re2 0.000 0.000 0.000
Ge1 0.637 0.137 0.000
Ge2 0.863 0.637 0.000
Ge3 0.137 0.363 0.000
Ge4 0.363 0.863 0.000
V1 0.338 0.162 0.500
V2 0.838 0.338 0.500
V3 0.662 0.838 0.500
V4 0.162 0.662 0.500
```

---

7.
# TaSb2As

A geometry-optimized TaSb2As structure (PBE, Alexandria via LeMat-Bulk).

Results
total magnetic moment = 0.390 μB per formula unit
formation energy from raw total energies = 0.49 eV per atom

```
data_TaSb2As
_cell_length_a 4.959
_cell_length_b 4.959
_cell_length_c 4.959
_cell_angle_alpha 60.00
_cell_angle_beta 60.00
_cell_angle_gamma 60.00
_space_group_name_H-M_alt 'P 1'
_space_group_IT_number 1
loop_
_space_group_symop_operation_xyz
'x,y,z'
loop_
_atom_site_label
_atom_site_fract_x
_atom_site_fract_y
_atom_site_fract_z
As1 0.500 0.500 0.500
Sb1 0.000 0.000 0.000
Sb2 0.250 0.250 0.250
Ta1 0.750 0.750 0.750
```

---

8.
# Ce2CuBiS5

A geometry-optimized Ce2CuBiS5 structure (PBE, Alexandria via LeMat-Bulk).

Results
total magnetic moment = 1.930 μB per formula unit
energy above the most stable polymorph in this dataset = 2.0 kJ per mole of atoms
formation energy from raw total energies = -1.23 eV per atom

```
data_Ce2CuBiS5
_cell_length_a 3.919
_cell_length_b 8.543
_cell_length_c 12.017
_cell_angle_alpha 90.00
_cell_angle_beta 90.00
_cell_angle_gamma 103.26
_space_group_name_H-M_alt 'P 1'
_space_group_IT_number 1
loop_
_space_group_symop_operation_xyz
'x,y,z'
loop_
_atom_site_label
_atom_site_fract_x
_atom_site_fract_y
_atom_site_fract_z
S1 0.292 0.583 0.698
S2 0.317 0.635 0.359
S3 0.683 0.365 0.859
S4 0.657 0.314 0.521
S5 0.007 0.014 0.008
S6 0.512 0.025 0.245
S7 0.488 0.975 0.745
S8 0.708 0.417 0.198
S9 0.993 0.986 0.508
S10 0.343 0.686 0.021
Ce1 0.118 0.235 0.347
Ce2 0.110 0.220 0.694
Ce3 0.890 0.780 0.194
Ce4 0.882 0.765 0.847
Cu1 0.456 0.913 0.418
Cu2 0.544 0.087 0.918
Bi1 0.822 0.644 0.534
Bi2 0.178 0.356 0.034
```

---

9.
# Li2Nd3Tl3

A geometry-optimized Li2Nd3Tl3 structure (PBE, Alexandria via LeMat-Bulk).

Results
total magnetic moment = 0.000 μB per formula unit
energy above the most stable polymorph in this dataset = 1.9 kJ per mole of atoms
energy of formation from the pure elements = -0.270 eV/atom

```
data_Li2Nd3Tl3
_cell_length_a 5.892
_cell_length_b 9.316
_cell_length_c 9.316
_cell_angle_alpha 120.00
_cell_angle_beta 90.00
_cell_angle_gamma 90.00
_space_group_name_H-M_alt 'P 1'
_space_group_IT_number 1
loop_
_space_group_symop_operation_xyz
'x,y,z'
loop_
_atom_site_label
_atom_site_fract_x
_atom_site_fract_y
_atom_site_fract_z
Nd1 0.250 0.000 0.754
Nd2 0.750 0.754 0.754
Nd3 0.750 0.000 0.246
Nd4 0.250 0.754 0.000
Nd5 0.750 0.246 0.000
Nd6 0.250 0.246 0.246
Tl1 0.250 0.407 0.000
Tl2 0.750 0.593 0.000
Tl3 0.750 0.407 0.407
Tl4 0.250 0.000 0.407
Tl5 0.250 0.593 0.593
Tl6 0.750 0.000 0.593
Li1 0.000 0.333 0.667
Li2 0.500 0.667 0.333
Li3 0.000 0.667 0.333
Li4 0.500 0.333 0.667
```

---

10.
# MoN

A geometry-optimized MoN structure (PBE, Alexandria via LeMat-Bulk).

Results
total magnetic moment = 0.000 μB per formula unit
formation energy from raw total energies = -0.37 eV per atom

```
data_MoN
_cell_length_a 2.870
_cell_length_b 2.870
_cell_length_c 11.446
_cell_angle_alpha 90.00
_cell_angle_beta 90.00
_cell_angle_gamma 120.00
_space_group_name_H-M_alt 'P 1'
_space_group_IT_number 1
loop_
_space_group_symop_operation_xyz
'x,y,z'
loop_
_atom_site_label
_atom_site_fract_x
_atom_site_fract_y
_atom_site_fract_z
Mo1 0.000 0.000 0.750
Mo2 0.000 0.000 0.000
Mo3 0.000 0.000 0.250
Mo4 0.000 0.000 0.500
N1 0.333 0.667 0.371
N2 0.667 0.333 0.629
N3 0.333 0.667 0.129
N4 0.667 0.333 0.871
```